Computed, not measured: crystalline YNiO2F at its relaxed geometry at the PBE+U level of DFT.

## Properties
DFT total energy (eV/f.u.): -28.79
Volume (Å³/atom): 16.40

```
data_YNiO2F
_symmetry_space_group_name_H-M 'P 4/m m m'
_symmetry_Int_Tables_number 123
_symmetry_space_group_name_Hall '-P 4 2'
_cell_length_a 4.4019
_cell_length_b 4.4019
_cell_length_c 4.2329
_cell_angle_alpha 90.00
_cell_angle_beta 90.00
_cell_angle_gamma 90.00
loop_
_atom_site_label
_atom_site_type_symbol
_atom_site_fract_x
_atom_site_fract_y
_atom_site_fract_z
Y1 Y 0.0000 0.0000 0.0000
Ni1 Ni 0.5000 0.5000 0.5000
O1 O 0.0000 0.5000 0.0000
F1 F 0.0000 0.0000 0.5000
```